The following is a DFT calculation (PBE) of a relaxed structure of BaTcOs.

Summary:
**E_form**: 146 kJ/mol of formula units
**M_tot**: 0.00 μB/cell
**Relative energy among the computed polymorphs**: 136 meV per atom
**Volume**: 80 Å³ per cell
**Space group**: P3m1 (156)
**Raw total energy**: -7.34 eV/atom
**D(E_F)**: 4.4 states/eV per cell

abc: 4.137 4.137 5.370
angles: 90.00 90.00 120.00
Atoms (fractional coordinates):
1 Os 0.000 0.000 0.663
2 Ba 0.667 0.333 0.197
3 Tc 0.333 0.667 0.724